1.
Material: PmPr4Ga
Method: DFT, PBE
State: optimized geometry

a b c (Å): 9.180 13.910 6.530
angles (deg): 90.00 109.26 90.00
Space group C2/c (No. 15)
Unique sites:
Pm (0.000, 0.097, 0.250) x4
Pr (0.103, 0.320, 0.552) x8
Pr (0.223, 0.107, 0.875) x8
Ga (0.000, 0.499, 0.250) x4

Summary:
D(E_F), states/eV/f.u.: 8.19
Crystal system: monoclinic
Energy of formation from the pure elements, eV/f.u.: -0.6
Energy relative to the lowest polymorph listed for this composition, eV per atom: 0.0531

***

2.
Material: LaHf
Method: DFT, PBE
State: optimized geometry

a b c (Å): 12.178 12.178 3.217
angles (deg): 90.00 90.00 90.00
Space group I4/m (No. 87)
Unique sites:
La (0.111, 0.672, 0.000) x8
Hf (0.073, 0.153, 0.000) x8

Summary:
D(E_F), states/eV/f.u.: 2.53
Crystal system: tetragonal
Energy of formation from the pure elements, eV/f.u.: 1.0
Energy relative to the lowest polymorph listed for this composition, eV per atom: 0.2830

***

3.
Material: BaRe3Te
Method: DFT, PBE
State: optimized geometry

a b c (Å): 5.054 5.054 5.054
angles (deg): 90.00 90.00 90.00
Space group Pm-3m (No. 221)
Unique sites:
Ba (0.000, 0.000, 0.000) x1
Re (0.000, 0.000, 0.500) x3
Te (0.500, 0.500, 0.500) x1

Summary:
D(E_F), states/eV/f.u.: 9.05
Crystal system: cubic
Energy relative to the lowest polymorph listed for this composition, eV per atom: 1.8127
ΔE_f (raw), kJ per mole of atoms: 367.4